Density functional theory data (PBE) for a relaxed Sr2ZnGeRh crystal.

Computed properties:
The calculated formation energy is -276 meV per atom. The total energy comes out at -3.597 eV/atom. Its symmetry is No. 123.

Structure (extended XYZ):
```
5
Lattice="-2.507 -4.402 -2.832 4.032 -3.626 2.067 -2.704 -0.871 3.748" Properties=species:S:1:pos:R:3 pbc="T T T"
Sr -1.253 -2.201 -1.416
Rh 0.000 0.000 0.000
Sr 2.016 -1.813 1.034
Ge -1.352 -0.435 1.874
Zn -0.590 -4.450 1.492
```

***

Density functional theory data (PBE) for a relaxed BaMg2In4Pd crystal.

Computed properties:
The calculated formation energy is -281 meV per atom. The total energy comes out at -2.938 eV/atom. Its symmetry is No. 166.

Structure (extended XYZ):
```
8
Lattice="4.861 0.000 0.000 2.431 4.210 0.000 2.431 1.403 10.256" Properties=species:S:1:pos:R:3 pbc="T T T"
Mg 7.292 4.210 7.269
In 7.292 4.210 4.100
Pd 4.861 2.807 5.128
Ba 0.000 0.000 0.000
In 4.861 2.807 8.033
Mg 2.431 1.403 2.987
In 4.861 2.807 2.223
In 2.431 1.403 6.156
```

***

Density functional theory data (PBE) for a relaxed BeTcMo2 crystal.

Computed properties:
The calculated formation energy is 121 meV per atom. The total energy comes out at -8.818 eV/atom. Its symmetry is No. 10.

Structure (extended XYZ):
```
4
Lattice="4.255 0.000 0.000 0.000 2.661 0.004 0.000 1.221 5.019" Properties=species:S:1:pos:R:3 pbc="T T T"
Tc 2.127 0.971 1.256
Be 2.127 2.912 3.767
Mo 0.000 1.919 2.550
Mo 0.000 1.244 4.980
```

***

Density functional theory data (PBE) for a relaxed LaGaBr crystal.

Computed properties:
For the formation energy without anion corrections, the calculation gives -3.98 eV per formula unit. The total energy comes out at -4.536 eV/atom. Its symmetry is No. 12.

Structure (extended XYZ):
```
6
Lattice="4.331 0.000 0.000 2.165 3.751 0.013 2.165 1.179 11.667" Properties=species:S:1:pos:R:3 pbc="T T T"
Ga 2.165 1.214 6.169
Br 2.165 1.227 1.841
Ga 6.496 3.716 5.510
Br 6.496 3.703 9.838
La 4.331 2.458 8.007
La 4.331 2.472 3.673
```

***

In order of appearance, DOS at the Fermi energy = 2.6, 3.2, 3.2, 0.7 states/eV/f.u..